Density functional theory data (GGA-PBE) for a geometry-optimized Cs2IrOF6 structure.

Calculated values
- SG = I4/mmm
- formation energy (no corrections) (eV per atom) = -1.692

Cell: 6.4808 6.4808 6.6993 Å, 61.07 61.07 90.00°
Fractional positions:
Cs (0.7500, 0.2500, 0.5000)
Cs (0.2500, 0.7500, 0.5000)
Ir (0.0000, 0.0000, 0.0000)
O (0.5000, 0.5000, 0.0000)
F (0.2013, 0.2013, 0.5974)
F (0.7987, 0.7987, 0.4026)
F (0.2149, 0.2149, 0.0000)
F (0.7851, 0.7851, 0.0000)
F (0.7851, 0.2149, 0.0000)
F (0.2149, 0.7851, 0.0000)